The following is a DFT calculation (GGA-PBE) of crystalline Al5Ag6 at its relaxed geometry.

Cell: 4.935 4.963 7.868 Å, 98.74 97.21 95.53°
Sites, in units of the cell vectors:
Al1 0.000 0.000 0.000
Al2 0.183 0.386 0.739
Al3 0.358 0.722 0.455
Al4 0.642 0.278 0.545
Al5 0.817 0.614 0.261
Ag1 0.105 0.181 0.378
Ag2 0.270 0.527 0.098
Ag3 0.440 0.931 0.813
Ag4 0.560 0.069 0.187
Ag5 0.730 0.473 0.902
Ag6 0.895 0.819 0.622


The following is a DFT calculation (GGA-PBE) of crystalline AlAg at its relaxed geometry.

Cell: 2.895 2.895 16.254 Å, 90.00 90.00 90.00°
Sites, in units of the cell vectors:
Al1 0.000 0.000 0.000
Al2 0.000 0.000 0.246
Al3 0.000 0.000 0.498
Al4 0.500 0.500 0.624
Ag1 0.000 0.000 0.744
Ag2 0.500 0.500 0.123
Ag3 0.500 0.500 0.370
Ag4 0.500 0.500 0.881


The following is a DFT calculation (GGA-PBE) of crystalline Al2Ag3 at its relaxed geometry.

Cell: 2.889 7.661 8.098 Å, 76.13 89.97 79.16°
Sites, in units of the cell vectors:
Al1 0.091 0.316 0.300
Al2 0.300 0.901 0.406
Al3 0.700 0.099 0.594
Al4 0.909 0.684 0.700
Ag1 0.104 0.288 0.795
Ag2 0.303 0.895 0.883
Ag3 0.500 0.500 0.000
Ag4 0.500 0.500 0.500
Ag5 0.697 0.105 0.117
Ag6 0.896 0.712 0.205


The following is a DFT calculation (GGA-PBE) of crystalline Al3Ag5 at its relaxed geometry.

Cell: 5.111 2.950 9.312 Å, 90.00 100.47 90.00°
Sites, in units of the cell vectors:
Al1 0.000 0.000 0.000
Al2 0.243 0.000 0.747
Al3 0.755 0.500 0.747
Ag1 0.002 0.500 0.507
Ag2 0.246 0.500 0.240
Ag3 0.500 0.000 0.507
Ag4 0.500 0.500 0.982
Ag5 0.749 0.000 0.246


The following is a DFT calculation (GGA-PBE) of crystalline Al7Ag5 at its relaxed geometry.

Cell: 7.262 7.262 10.702 Å, 113.88 113.88 23.56°
Sites, in units of the cell vectors:
Al1 0.000 0.000 0.000
Al2 0.149 0.149 0.766
Al3 0.167 0.167 0.507
Al4 0.477 0.477 0.746
Al5 0.523 0.523 0.254
Al6 0.833 0.833 0.493
Al7 0.851 0.851 0.234
Ag1 0.188 0.188 0.259
Ag2 0.338 0.338 0.998
Ag3 0.500 0.500 0.500
Ag4 0.662 0.662 0.002
Ag5 0.812 0.812 0.741


The following is a DFT calculation (GGA-PBE) of crystalline Al5Ag4 at its relaxed geometry.

Cell: 5.067 5.081 7.378 Å, 70.15 89.28 60.25°
Sites, in units of the cell vectors:
Al1 0.000 0.000 0.000
Al2 0.231 0.213 0.664
Al3 0.335 0.330 0.999
Al4 0.665 0.670 0.001
Al5 0.769 0.787 0.336
Ag1 0.098 0.128 0.323
Ag2 0.430 0.455 0.326
Ag3 0.570 0.545 0.674
Ag4 0.902 0.872 0.677


The following is a DFT calculation (GGA-PBE) of crystalline Al5Ag3 at its relaxed geometry.

Cell: 7.886 7.886 5.234 Å, 90.00 90.00 120.00°
Sites, in units of the cell vectors:
Al1 0.000 0.213 0.250
Al2 0.000 0.787 0.750
Al3 0.213 0.000 0.250
Al4 0.213 0.213 0.750
Al5 0.333 0.667 0.000
Al6 0.333 0.667 0.500
Al7 0.667 0.333 0.000
Al8 0.667 0.333 0.500
Al9 0.787 0.000 0.750
Al10 0.787 0.787 0.250
Ag1 0.000 0.406 0.750
Ag2 0.000 0.594 0.250
Ag3 0.406 0.000 0.750
Ag4 0.406 0.406 0.250
Ag5 0.594 0.000 0.250
Ag6 0.594 0.594 0.750


The following is a DFT calculation (GGA-PBE) of crystalline AlAgAs at its relaxed geometry.

Cell: 4.993 4.993 4.993 Å, 137.61 137.61 61.50°
Sites, in units of the cell vectors:
Al1 0.000 0.000 0.000
Ag1 0.321 0.321 0.000
As1 0.640 0.640 0.000


The following is a DFT calculation (GGA-PBE) of crystalline Al2AgAs at its relaxed geometry.

Cell: 5.316 5.316 4.988 Å, 101.60 101.60 31.13°
Sites, in units of the cell vectors:
Al1 0.000 0.000 0.000
Al2 0.735 0.735 0.349
Ag1 0.257 0.257 0.873
As1 0.489 0.489 0.495


The following is a DFT calculation (GGA-PBE) of crystalline AlAg2As at its relaxed geometry.

Cell: 5.265 5.265 5.265 Å, 134.83 134.83 65.80°
Sites, in units of the cell vectors:
Al1 0.000 0.000 0.000
Ag1 0.250 0.750 0.500
Ag2 0.750 0.250 0.500
As1 0.500 0.500 0.000


The following is a DFT calculation (GGA-PBE) of crystalline AlAgAs2 at its relaxed geometry.

Cell: 4.212 3.697 5.491 Å, 90.00 107.46 90.00°
Sites, in units of the cell vectors:
Al1 0.000 0.000 0.000
Ag1 0.500 0.000 0.500
As1 0.280 0.500 0.791
As2 0.720 0.500 0.209


The following is a DFT calculation (GGA-PBE) of crystalline AlAg2As at its relaxed geometry.

Cell: 5.218 5.218 4.858 Å, 94.04 94.04 33.19°
Sites, in units of the cell vectors:
Al1 0.000 0.000 0.000
Ag1 0.248 0.248 0.748
Ag2 0.507 0.507 0.509
As1 0.759 0.759 0.242


The following is a DFT calculation (GGA-PBE) of crystalline AlAg2As at its relaxed geometry.

Cell: 2.952 2.952 8.477 Å, 90.00 90.00 101.40°
Sites, in units of the cell vectors:
Al1 0.000 0.000 0.000
Ag1 0.000 0.000 0.510
Ag2 0.500 0.500 0.771
As1 0.500 0.500 0.234


The following is a DFT calculation (GGA-PBE) of crystalline AlAgAs2 at its relaxed geometry.

Cell: 6.475 6.475 6.475 Å, 147.77 146.66 47.05°
Sites, in units of the cell vectors:
Al1 0.000 0.000 0.000
Ag1 0.670 0.170 0.500
As1 0.269 0.769 0.500
As2 0.446 0.446 0.000


The following is a DFT calculation (GGA-PBE) of crystalline AlAgAs at its relaxed geometry.

Cell: 6.043 6.043 6.043 Å, 152.95 146.45 43.61°
Sites, in units of the cell vectors:
Al1 0.000 0.000 0.000
Ag1 0.657 0.657 0.000
As1 0.351 0.351 0.000


The following is a DFT calculation (GGA-PBE) of crystalline AlAgAs2 at its relaxed geometry.

Cell: 5.184 5.184 5.184 Å, 132.27 132.27 69.81°
Sites, in units of the cell vectors:
Al1 0.000 0.000 0.000
Ag1 0.750 0.250 0.500
As1 0.250 0.750 0.500
As2 0.500 0.500 0.000


The following is a DFT calculation (GGA-PBE) of crystalline Al2AgAs at its relaxed geometry.

Cell: 4.423 4.423 3.687 Å, 90.00 90.00 90.00°
Sites, in units of the cell vectors:
Al1 0.000 0.500 0.000
Al2 0.500 0.000 0.000
Ag1 0.000 0.000 0.500
As1 0.500 0.500 0.500


The following is a DFT calculation (GGA-PBE) of crystalline AlAg2As2 at its relaxed geometry.

Cell: 8.170 8.170 2.935 Å, 90.00 90.00 90.00°
Sites, in units of the cell vectors:
Al1 0.000 0.000 0.000
Al2 0.500 0.500 0.000
Ag1 0.129 0.371 0.500
Ag2 0.371 0.871 0.500
Ag3 0.629 0.129 0.500
Ag4 0.871 0.629 0.500
As1 0.171 0.671 0.000
As2 0.329 0.171 0.000
As3 0.671 0.829 0.000
As4 0.829 0.329 0.000


The following is a DFT calculation (GGA-PBE) of crystalline AlAg2As at its relaxed geometry.

Cell: 4.706 4.706 4.706 Å, 60.00 60.00 60.00°
Sites, in units of the cell vectors:
Al1 0.000 0.000 0.000
Ag1 0.250 0.250 0.250
Ag2 0.750 0.750 0.750
As1 0.500 0.500 0.500


The following is a DFT calculation (GGA-PBE) of crystalline AlAgAs2 at its relaxed geometry.

Cell: 3.127 3.127 7.576 Å, 90.00 90.00 90.00°
Sites, in units of the cell vectors:
Al1 0.000 0.000 0.000
Ag1 0.000 0.000 0.500
As1 0.500 0.500 0.231
As2 0.500 0.500 0.769


Calculated E_form, -21 -9 -44 -21 0 -30 95 155 72 75 63 88 106 169 135 256 131 233 166 192 meV/atom (same order as the records).